! NaSiOs, optimized geometry, DFT PBE-GGA; values from VASP
&SYSTEM
  ibrav = 0, nat = 3, ntyp = 3
/
ATOMIC_SPECIES
Na 22.99 Na.upf
Os 190.23 Os.upf
Si 28.09 Si.upf
CELL_PARAMETERS angstrom
0.990 -3.608 1.786
-2.992 -2.582 1.253
-0.647 -3.561 -2.023
ATOMIC_POSITIONS crystal
Na 0.250 0.250 0.250
Os 0.750 0.750 0.750
Si 0.000 0.000 0.000
! - calculated volume (Å³/f.u.) = 50.39
! - crystal system = cubic
! - electronic total energy (eV/cell) = -16.273
! - offset from the most stable computed form (eV per atom) = 0.000
! - theoretical density (g/cm3) = 8.0
! - space-group type = F-43m, No. 216